Entry 1:
{
  "formula": "Cu2AgSb",
  "functional": "GGA-PBE",
  "state": "relaxed",
  "density_g_cm3": 8.83,
  "m_tot_mub_per_cell": 0.0,
  "e_tot_ev_per_atom": -3.635,
  "e_form_raw_ev_per_atom": 0.156,
  "lattice_angstrom": [[3.260, 0.000, 0.000], [0.000, 3.613, 0.000], [-0.008, 0.000, 5.694]],
  "species": ["Cu", "Cu", "Ag", "Sb"],
  "frac_coords": [[0.001, 0.000, 0.239], [0.999, 0.000, 0.761], [0.500, 0.500, 0.000], [0.500, 0.500, 0.500]]
}

---

Entry 2:
{
  "formula": "Rb4PaCd3O8",
  "functional": "GGA-PBE",
  "state": "relaxed",
  "density_g_cm3": 6.13,
  "m_tot_mub_per_cell": 1.0,
  "e_tot_ev_per_atom": -5.130,
  "e_form_raw_ev_per_atom": -1.644,
  "lattice_angstrom": [[6.202, -3.470, 0.000], [6.202, 3.470, 0.000], [-3.982, 0.000, 6.535]],
  "species": ["Rb", "Rb", "Rb", "Rb", "Pa", "Cd", "Cd", "Cd", "O", "O", "O", "O", "O", "O", "O", "O"],
  "frac_coords": [[0.000, 0.000, 0.000], [0.000, 0.500, 0.000], [0.500, 0.000, 0.000], [0.500, 0.500, 0.000], [0.000, 0.000, 0.500], [0.000, 0.500, 0.500], [0.500, 0.000, 0.500], [0.500, 0.500, 0.500], [0.219, 0.219, 0.684], [0.219, 0.770, 0.694], [0.230, 0.781, 0.306], [0.278, 0.278, 0.336], [0.722, 0.722, 0.664], [0.770, 0.219, 0.694], [0.781, 0.230, 0.306], [0.781, 0.781, 0.316]]
}

---

Entry 3:
{
  "formula": "Mn3HgB",
  "functional": "GGA-PBE",
  "state": "relaxed",
  "density_g_cm3": 9.24,
  "m_tot_mub_per_cell": 8.3,
  "e_tot_ev_per_atom": -6.784,
  "e_above_lowest_polymorph_ev_per_atom": 0.000,
  "ef_mev_per_atom": 114,
  "lattice_angstrom": [[4.073, 0.000, 0.000], [0.000, 4.073, 0.000], [0.000, 0.000, 4.073]],
  "species": ["Mn", "Mn", "Mn", "Hg", "B"],
  "frac_coords": [[0.000, 0.000, 0.500], [0.000, 0.500, 0.000], [0.500, 0.000, 0.000], [0.500, 0.500, 0.500], [0.000, 0.000, 0.000]]
}